Entry i
GeAsIrSe2 | PBE | optimized geometry

* crystal system: tetragonal

Structure (CIF):
```
data_GeAsIrSe2
_chemical_formula_sum 'Ge1 As1 Ir1 Se2'
_cell_length_a 5.158
_cell_length_b 5.158
_cell_length_c 4.553
_cell_angle_alpha 90.00
_cell_angle_beta 90.00
_cell_angle_gamma 90.00
_space_group_name_H-M_alt 'P 4/m m m'
_space_group_IT_number 123
_space_group_name_Hall '-P 4 2'
loop_
_atom_site_label
_atom_site_type_symbol
_atom_site_fract_x
_atom_site_fract_y
_atom_site_fract_z
Ge1 Ge 0.000 0.000 0.000
As1 As 0.500 0.500 0.000
Ir1 Ir 0.500 0.500 0.500
Se1 Se 0.000 0.500 0.500
```


Entry ii
GeAsIrSe2 | PBE | optimized geometry

* crystal system: tetragonal

Structure (CIF):
```
data_GeAsIrSe2
_chemical_formula_sum 'Ge1 As1 Ir1 Se2'
_cell_length_a 4.809
_cell_length_b 4.809
_cell_length_c 4.817
_cell_angle_alpha 90.00
_cell_angle_beta 90.00
_cell_angle_gamma 90.00
_space_group_name_H-M_alt 'P 4/m m m'
_space_group_IT_number 123
_space_group_name_Hall '-P 4 2'
loop_
_atom_site_label
_atom_site_type_symbol
_atom_site_fract_x
_atom_site_fract_y
_atom_site_fract_z
Ge1 Ge 0.000 0.000 0.000
As1 As 0.000 0.000 0.500
Ir1 Ir 0.500 0.500 0.500
Se1 Se 0.000 0.500 0.000
```


Which of them is most stable? Easy: entry i.


Entry i
K3GeAs2 | PBE | optimized geometry

* crystal system: orthorhombic

Structure (CIF):
```
data_K3GeAs2
_chemical_formula_sum 'K12 Ge4 As8'
_cell_length_a 7.518
_cell_length_b 14.486
_cell_length_c 9.087
_cell_angle_alpha 90.00
_cell_angle_beta 90.00
_cell_angle_gamma 90.00
_space_group_name_H-M_alt 'I b a m'
_space_group_IT_number 72
_space_group_name_Hall '-I 2 2c'
loop_
_atom_site_label
_atom_site_type_symbol
_atom_site_fract_x
_atom_site_fract_y
_atom_site_fract_z
K1 K 0.000 0.000 0.250
K2 K 0.000 0.282 0.250
Ge1 Ge 0.000 0.500 0.000
As1 As 0.232 0.392 0.000
```


Entry ii
K3GeAs2 | PBE | optimized geometry

* crystal system: orthorhombic

Structure (CIF):
```
data_K3GeAs2
_chemical_formula_sum 'K12 Ge4 As8'
_cell_length_a 8.150
_cell_length_b 14.534
_cell_length_c 6.835
_cell_angle_alpha 90.00
_cell_angle_beta 90.00
_cell_angle_gamma 90.00
_space_group_name_H-M_alt 'I b a m'
_space_group_IT_number 72
_space_group_name_Hall '-I 2 2c'
loop_
_atom_site_label
_atom_site_type_symbol
_atom_site_fract_x
_atom_site_fract_y
_atom_site_fract_z
K1 K 0.000 0.000 0.250
K2 K 0.184 0.316 0.000
Ge1 Ge 0.000 0.500 0.250
As1 As 0.185 0.408 0.500
```


Which of them is most stable? Easy: entry ii.